1.
Here is crystalline Y3ZnCd at its relaxed geometry from Alexandria. Energies are from PBE.

The structure in CIF format:
```
data_Y3ZnCd
_chemical_formula_sum 'Y3 Zn1 Cd1'
_cell_length_a 5.418
_cell_length_b 5.418
_cell_length_c 5.418
_cell_angle_alpha 90.00
_cell_angle_beta 90.00
_cell_angle_gamma 90.00
_space_group_name_H-M_alt 'P 1'
_space_group_IT_number 1
_space_group_name_Hall 'P 1'
loop_
_atom_site_label
_atom_site_type_symbol
_atom_site_fract_x
_atom_site_fract_y
_atom_site_fract_z
_atom_site_occupancy
Y1 Y 0.000 0.000 0.500 1
Y2 Y 0.000 0.500 0.000 1
Y3 Y 0.500 0.000 0.000 1
Zn1 Zn 0.000 0.000 0.000 1
Cd1 Cd 0.500 0.500 0.500 1
```

calculated volume = 159 Å³ per cell
energy of formation from the pure elements = 0.16 eV per atom
calculated total energy = -0.153 hartree per atom



2.
Here is crystalline Tc2NiOs at its relaxed geometry from Alexandria. Energies are from PBE.

The structure in CIF format:
```
data_Tc2NiOs
_chemical_formula_sum 'Tc4 Ni2 Os2'
_cell_length_a 5.310
_cell_length_b 7.642
_cell_length_c 2.707
_cell_angle_alpha 90.00
_cell_angle_beta 90.00
_cell_angle_gamma 90.00
_space_group_name_H-M_alt 'P 1'
_space_group_IT_number 1
_space_group_name_Hall 'P 1'
loop_
_atom_site_label
_atom_site_type_symbol
_atom_site_fract_x
_atom_site_fract_y
_atom_site_fract_z
_atom_site_occupancy
Tc1 Tc 0.250 0.250 0.000 1
Tc2 Tc 0.250 0.750 0.000 1
Tc3 Tc 0.750 0.250 0.000 1
Tc4 Tc 0.750 0.750 0.000 1
Ni1 Ni 0.000 0.000 0.500 1
Ni2 Ni 0.500 0.500 0.500 1
Os1 Os 0.000 0.500 0.500 1
Os2 Os 0.500 0.000 0.500 1
```

calculated volume = 110 Å³ per cell
energy of formation from the pure elements = 0.08 eV per atom
calculated total energy = -0.344 hartree per atom



3.
Here is crystalline PdS2O at its relaxed geometry from Alexandria. Energies are from PBE.

The structure in CIF format:
```
data_PdS2O
_chemical_formula_sum 'Pd3 S6 O3'
_cell_length_a 3.743
_cell_length_b 3.743
_cell_length_c 17.637
_cell_angle_alpha 90.00
_cell_angle_beta 90.00
_cell_angle_gamma 120.00
_space_group_name_H-M_alt 'P 1'
_space_group_IT_number 1
_space_group_name_Hall 'P 1'
loop_
_atom_site_label
_atom_site_type_symbol
_atom_site_fract_x
_atom_site_fract_y
_atom_site_fract_z
_atom_site_occupancy
Pd1 Pd 0.000 0.000 0.000 1
Pd2 Pd 0.333 0.667 0.667 1
Pd3 Pd 0.667 0.333 0.333 1
S1 S 0.000 0.000 0.400 1
S2 S 0.000 0.000 0.600 1
S3 S 0.333 0.667 0.067 1
S4 S 0.333 0.667 0.266 1
S5 S 0.667 0.333 0.734 1
S6 S 0.667 0.333 0.933 1
O1 O 0.000 0.000 0.500 1
O2 O 0.333 0.667 0.167 1
O3 O 0.667 0.333 0.833 1
```

calculated volume = 214 Å³ per cell
uncorrected formation energy = -0.06 eV per atom
calculated total energy = -0.171 hartree per atom



4.
Here is crystalline Hg2BiPb4 at its relaxed geometry from Alexandria. Energies are from PBE.

The structure in CIF format:
```
data_Hg2BiPb4
_chemical_formula_sum 'Hg2 Bi1 Pb4'
_cell_length_a 9.814
_cell_length_b 9.814
_cell_length_c 9.814
_cell_angle_alpha 31.22
_cell_angle_beta 31.22
_cell_angle_gamma 31.22
_space_group_name_H-M_alt 'P 1'
_space_group_IT_number 1
_space_group_name_Hall 'P 1'
loop_
_atom_site_label
_atom_site_type_symbol
_atom_site_fract_x
_atom_site_fract_y
_atom_site_fract_z
_atom_site_occupancy
Hg1 Hg 0.240 0.240 0.240 1
Hg2 Hg 0.760 0.760 0.760 1
Bi1 Bi 0.000 0.000 0.000 1
Pb1 Pb 0.124 0.124 0.124 1
Pb2 Pb 0.383 0.383 0.383 1
Pb3 Pb 0.617 0.617 0.617 1
Pb4 Pb 0.876 0.876 0.876 1
```

calculated volume = 225 Å³ per cell
energy of formation from the pure elements = 0.07 eV per atom
calculated total energy = -0.099 hartree per atom